Entry 1:
This record from the Alexandria database describes a relaxed Tl2Cd3Hg2 crystal. The functional is PBE.

The structure belongs to space group I2_13 (No. 199); the cell edges are 9.130, 9.130 and 9.130 Å and the angles 90.00°, 90.00° and 90.00°. The asymmetric unit holds Tl at (0.162, 0.338, 0.662), Cd at (0.000, 0.250, 0.302) and Hg at (0.040, 0.040, 0.040).

The formation energy is 0.056 eV per atom. For the energy relative to the lowest polymorph listed for this composition, the calculation gives 4.1 kJ per mole of atoms.

=====

Entry 2:
This record from the Alexandria database describes a relaxed Tl7Cd2Hg2 crystal. The functional is PBE.

The structure belongs to space group C2/m (No. 12); the cell edges are 8.853, 11.762 and 6.672 Å and the angles 90.00°, 108.37° and 90.00°. The asymmetric unit holds Tl at (0.000, 0.000, 0.000), Tl at (0.174, 0.247, 0.197), Tl at (0.192, 0.000, 0.564), Cd at (0.128, 0.500, 0.904) and Hg at (0.000, 0.350, 0.500).

The formation energy is 0.050 eV per atom. For the energy relative to the lowest polymorph listed for this composition, the calculation gives 0.6 kJ per mole of atoms.